Entry 1:
GGA-PBE K3La2TbTe6, relaxed; uncorrected formation energy = -1.46 eV per atom; DOS at the Fermi energy = 0.00 states/eV per cell; total moment = 0.000 Bohr magnetons per cell
1.0
8.050 -0.002 -0.001
-4.024 6.972 -0.001
-1.343 -2.326 8.233
Te Tb La K
6 1 2 3
direct
0.252 0.252 0.786 Te
0.605 0.929 0.786 Te
0.071 0.395 0.214 Te
0.929 0.605 0.786 Te
0.395 0.071 0.214 Te
0.748 0.748 0.214 Te
0.000 0.000 0.000 Tb
0.334 0.666 0.000 La
0.666 0.334 0.000 La
0.831 0.169 0.500 K
0.500 0.500 0.500 K
0.169 0.831 0.500 K


Entry 2:
GGA-PBE Rb2TeSe4, relaxed; uncorrected formation energy = -0.41 eV per atom; DOS at the Fermi energy = 5.06 states/eV per cell; total moment = 0.000 Bohr magnetons per cell
1.0
-4.646 3.282 -6.992
-4.096 0.081 8.029
-1.672 8.857 0.000
Se Te Rb
8 2 4
direct
0.872 0.057 0.346 Se
0.628 0.435 0.468 Se
0.597 0.815 0.057 Se
0.903 0.468 0.904 Se
0.097 0.193 0.435 Se
0.403 0.346 0.782 Se
0.372 0.904 0.193 Se
0.128 0.782 0.815 Se
0.000 0.000 0.000 Te
0.500 0.250 0.250 Te
0.873 0.748 0.625 Rb
0.373 0.625 0.502 Rb
0.627 0.125 0.748 Rb
0.127 0.502 0.125 Rb


Entry 3:
GGA-PBE TbDySn, relaxed; polymorph energy (0 for the lowest one) = 0.00 eV per formula unit; DOS at the Fermi energy = 5.49 states/eV per cell; ΔH_f (0 K) = -0.581 eV/atom; total moment = 0.000 Bohr magnetons per cell
1.0
-1.097 3.982 1.862
-4.307 -1.359 0.368
1.657 -3.157 7.728
Dy Sn Tb
2 2 2
direct
0.250 0.250 0.000 Dy
0.750 0.750 0.000 Dy
0.251 0.749 0.720 Sn
0.749 0.251 0.280 Sn
0.751 0.249 0.653 Tb
0.249 0.751 0.347 Tb